#w
The following is a DFT calculation (GGA-PBEsol) of crystalline K2FeTc at its relaxed geometry.

Cell lengths 10.275, 10.275, 10.275 Å; angles 162.73, 160.48, 26.18 degrees
Sites, in units of the cell vectors:
K (0.145, 0.145, 0.000)
K (0.855, 0.855, 0.000)
Fe (0.000, 0.500, 0.500)
Tc (0.500, 0.000, 0.500)

Computed properties:
Space-group type: Immm (71)
Spin magnetization, μB/atom: 0.000
Volume, Å³ per cell: 107.58


#x
The following is a DFT calculation (GGA-PBEsol) of crystalline K2FeTc at its relaxed geometry.

Cell lengths 6.510, 6.510, 6.510 Å; angles 149.83, 126.49, 62.66 degrees
Sites, in units of the cell vectors:
K (0.000, 0.000, 0.000)
K (0.707, 0.207, 0.500)
Fe (0.422, 0.422, 0.000)
Tc (0.307, 0.807, 0.500)

Computed properties:
Space-group type: Imm2 (44)
Spin magnetization, μB/atom: 0.367
Volume, Å³ per cell: 110.47


Of them, the most stable is #w and the least stable is #x.


#w
The following is a DFT calculation (GGA-PBEsol) of crystalline K2TlFe at its relaxed geometry.

Cell lengths 3.350, 3.350, 10.749 Å; angles 90.00, 90.00, 93.57 degrees
Sites, in units of the cell vectors:
K (0.000, 0.000, 0.230)
K (0.000, 0.000, 0.770)
Tl (0.500, 0.500, 0.500)
Fe (0.500, 0.500, 0.000)

Computed properties:
Space-group type: Cmmm (65)
Spin magnetization, μB/atom: 0.740
Volume, Å³ per cell: 120.40


#x
The following is a DFT calculation (GGA-PBEsol) of crystalline K2TlFe at its relaxed geometry.

Cell lengths 3.727, 3.727, 10.130 Å; angles 90.00, 90.00, 90.00 degrees
Sites, in units of the cell vectors:
K (0.000, 0.000, 0.000)
K (0.500, 0.500, 0.401)
Tl (0.000, 0.000, 0.673)
Fe (0.500, 0.500, 0.719)

Computed properties:
Space-group type: P4mm (99)
Spin magnetization, μB/atom: 0.611
Volume, Å³ per cell: 140.69


Of them, the most stable is #x and the least stable is #w.


#w
The following is a DFT calculation (GGA-PBEsol) of crystalline KFe2W at its relaxed geometry.

Cell lengths 3.000, 3.000, 7.886 Å; angles 90.00, 90.00, 90.00 degrees
Sites, in units of the cell vectors:
K (0.000, 0.000, 0.000)
Fe (0.500, 0.500, 0.337)
Fe (0.500, 0.500, 0.663)
W (0.000, 0.000, 0.500)

Computed properties:
Space-group type: P4/mmm (123)
Spin magnetization, μB/atom: 0.594
Volume, Å³ per cell: 70.99


#x
The following is a DFT calculation (GGA-PBEsol) of crystalline KFe2W at its relaxed geometry.

Cell lengths 4.939, 4.939, 2.590 Å; angles 90.00, 90.00, 90.11 degrees
Sites, in units of the cell vectors:
K (0.000, 0.000, 0.000)
Fe (0.000, 0.500, 0.500)
Fe (0.500, 0.000, 0.500)
W (0.500, 0.500, 0.000)

Computed properties:
Space-group type: Cmmm (65)
Spin magnetization, μB/atom: 1.063
Volume, Å³ per cell: 63.18


Of them, the most stable is #w and the least stable is #x.


#w
The following is a DFT calculation (GGA-PBEsol) of crystalline KFeW2 at its relaxed geometry.

Cell lengths 4.909, 4.909, 2.661 Å; angles 90.00, 90.00, 90.00 degrees
Sites, in units of the cell vectors:
K (0.000, 0.000, 0.000)
Fe (0.500, 0.500, 0.000)
W (0.000, 0.500, 0.500)
W (0.500, 0.000, 0.500)

Computed properties:
Space-group type: P4/mmm (123)
Spin magnetization, μB/atom: 0.369
Volume, Å³ per cell: 64.11


#x
The following is a DFT calculation (GGA-PBEsol) of crystalline KFeW2 at its relaxed geometry.

Cell lengths 3.184, 3.184, 8.198 Å; angles 90.00, 90.00, 90.00 degrees
Sites, in units of the cell vectors:
K (0.000, 0.000, 0.000)
Fe (0.000, 0.000, 0.500)
W (0.500, 0.500, 0.360)
W (0.500, 0.500, 0.640)

Computed properties:
Space-group type: P4/mmm (123)
Spin magnetization, μB/atom: 0.205
Volume, Å³ per cell: 83.10


Of them, the most stable is #x and the least stable is #w.


#w
The following is a DFT calculation (GGA-PBEsol) of crystalline KZn2Fe at its relaxed geometry.

Cell lengths 9.955, 9.955, 9.955 Å; angles 16.16, 16.16, 16.16 degrees
Sites, in units of the cell vectors:
K (0.000, 0.000, 0.000)
Zn (0.235, 0.235, 0.235)
Zn (0.765, 0.765, 0.765)
Fe (0.500, 0.500, 0.500)

Computed properties:
Space-group type: R-3m (166)
Spin magnetization, μB/atom: 0.583
Volume, Å³ per cell: 66.65


#x
The following is a DFT calculation (GGA-PBEsol) of crystalline KZn2Fe at its relaxed geometry.

Cell lengths 4.773, 4.773, 4.773 Å; angles 60.00, 60.00, 60.00 degrees
Sites, in units of the cell vectors:
K (0.000, 0.000, 0.000)
Zn (0.250, 0.250, 0.250)
Zn (0.750, 0.750, 0.750)
Fe (0.500, 0.500, 0.500)

Computed properties:
Space-group type: Fm-3m (225)
Spin magnetization, μB/atom: 0.722
Volume, Å³ per cell: 76.91


Of them, the most stable is #w and the least stable is #x.


#w
The following is a DFT calculation (GGA-PBEsol) of crystalline Li2LaFe at its relaxed geometry.

Cell lengths 3.069, 3.069, 7.960 Å; angles 90.00, 90.00, 90.00 degrees
Sites, in units of the cell vectors:
Li (0.000, 0.000, 0.183)
Li (0.000, 0.000, 0.817)
La (0.500, 0.500, 0.500)
Fe (0.500, 0.500, 0.000)

Computed properties:
Space-group type: P4/mmm (123)
Spin magnetization, μB/atom: 0.670
Volume, Å³ per cell: 74.96


#x
The following is a DFT calculation (GGA-PBEsol) of crystalline Li2LaFe at its relaxed geometry.

Cell lengths 5.858, 5.858, 5.858 Å; angles 147.53, 135.95, 55.78 degrees
Sites, in units of the cell vectors:
Li (0.218, 0.218, 0.000)
Li (0.782, 0.782, 0.000)
La (0.500, 0.000, 0.500)
Fe (0.000, 0.500, 0.500)

Computed properties:
Space-group type: Immm (71)
Spin magnetization, μB/atom: 0.302
Volume, Å³ per cell: 74.52


Of them, the most stable is #x and the least stable is #w.


#w
The following is a DFT calculation (GGA-PBEsol) of crystalline LaFeOs at its relaxed geometry.

Cell lengths 6.168, 6.168, 6.168 Å; angles 151.35, 151.35, 40.96 degrees
Sites, in units of the cell vectors:
La (0.000, 0.000, 0.000)
Fe (0.701, 0.701, 0.000)
Os (0.298, 0.298, 0.000)

Computed properties:
Space-group type: I4mm (107)
Spin magnetization, μB/atom: 0.609
Volume, Å³ per cell: 53.82


#x
The following is a DFT calculation (GGA-PBEsol) of crystalline LaFeOs at its relaxed geometry.

Cell lengths 2.861, 2.861, 7.267 Å; angles 90.00, 90.00, 120.00 degrees
Sites, in units of the cell vectors:
La (0.000, 0.000, 0.000)
Fe (0.667, 0.333, 0.364)
Os (0.333, 0.667, 0.619)

Computed properties:
Space-group type: P3m1 (156)
Spin magnetization, μB/atom: 0.603
Volume, Å³ per cell: 51.51


Of them, the most stable is #w and the least stable is #x.


#w
The following is a DFT calculation (GGA-PBEsol) of crystalline LaFe2Re at its relaxed geometry.

Cell lengths 2.941, 2.941, 7.207 Å; angles 90.00, 90.00, 90.00 degrees
Sites, in units of the cell vectors:
La (0.000, 0.000, 0.000)
Fe (0.500, 0.500, 0.314)
Fe (0.500, 0.500, 0.686)
Re (0.000, 0.000, 0.500)

Computed properties:
Space-group type: P4/mmm (123)
Spin magnetization, μB/atom: 0.000
Volume, Å³ per cell: 62.35


#x
The following is a DFT calculation (GGA-PBEsol) of crystalline LaFe2Re at its relaxed geometry.

Cell lengths 4.520, 4.520, 4.520 Å; angles 125.02, 116.31, 89.02 degrees
Sites, in units of the cell vectors:
La (0.000, 0.000, 0.000)
Fe (0.277, 0.777, 0.500)
Fe (0.723, 0.223, 0.500)
Re (0.500, 0.500, 0.000)

Computed properties:
Space-group type: Immm (71)
Spin magnetization, μB/atom: 0.793
Volume, Å³ per cell: 64.17


Of them, the most stable is #w and the least stable is #x.


#w
The following is a DFT calculation (GGA-PBEsol) of crystalline LaFeRh2 at its relaxed geometry.

Cell lengths 3.082, 3.082, 7.051 Å; angles 90.00, 90.00, 90.00 degrees
Sites, in units of the cell vectors:
La (0.000, 0.000, 0.000)
Fe (0.000, 0.000, 0.500)
Rh (0.500, 0.500, 0.305)
Rh (0.500, 0.500, 0.695)

Computed properties:
Space-group type: P4/mmm (123)
Spin magnetization, μB/atom: 0.986
Volume, Å³ per cell: 66.99


#x
The following is a DFT calculation (GGA-PBEsol) of crystalline LaFeRh2 at its relaxed geometry.

Cell lengths 3.230, 3.230, 6.607 Å; angles 90.00, 90.00, 90.00 degrees
Sites, in units of the cell vectors:
La (0.000, 0.000, 0.000)
Fe (0.500, 0.500, 0.656)
Rh (0.000, 0.000, 0.521)
Rh (0.500, 0.500, 0.279)

Computed properties:
Space-group type: P4mm (99)
Spin magnetization, μB/atom: 0.646
Volume, Å³ per cell: 68.91


Of them, the most stable is #w and the least stable is #x.


#w
The following is a DFT calculation (GGA-PBEsol) of crystalline La2FeRh at its relaxed geometry.

Cell lengths 4.952, 4.952, 4.952 Å; angles 60.00, 60.00, 60.00 degrees
Sites, in units of the cell vectors:
La (0.250, 0.250, 0.250)
La (0.750, 0.750, 0.750)
Fe (0.000, 0.000, 0.000)
Rh (0.500, 0.500, 0.500)

Computed properties:
Space-group type: Fm-3m (225)
Spin magnetization, μB/atom: 0.391
Volume, Å³ per cell: 85.87


#x
The following is a DFT calculation (GGA-PBEsol) of crystalline La2FeRh at its relaxed geometry.

Cell lengths 3.976, 5.937, 5.937 Å; angles 40.21, 90.00, 90.00 degrees
Sites, in units of the cell vectors:
La (0.000, 0.000, 0.000)
La (0.500, 0.285, 0.285)
Fe (0.000, 0.712, 0.712)
Rh (0.500, 0.572, 0.572)

Computed properties:
Space-group type: Amm2 (38)
Spin magnetization, μB/atom: 0.361
Volume, Å³ per cell: 90.47


Of them, the most stable is #x and the least stable is #w.


#w
The following is a DFT calculation (GGA-PBEsol) of crystalline Sr2LaFe at its relaxed geometry.

Cell lengths 6.140, 6.140, 3.694 Å; angles 90.00, 90.00, 110.95 degrees
Sites, in units of the cell vectors:
Sr (0.000, 0.500, 0.000)
Sr (0.500, 0.000, 0.000)
La (0.000, 0.000, 0.500)
Fe (0.500, 0.500, 0.500)

Computed properties:
Space-group type: Cmmm (65)
Spin magnetization, μB/atom: 0.663
Volume, Å³ per cell: 130.06


#x
The following is a DFT calculation (GGA-PBEsol) of crystalline Sr2LaFe at its relaxed geometry.

Cell lengths 3.616, 3.616, 10.016 Å; angles 90.00, 90.00, 90.00 degrees
Sites, in units of the cell vectors:
Sr (0.000, 0.000, 0.190)
Sr (0.000, 0.000, 0.810)
La (0.500, 0.500, 0.500)
Fe (0.500, 0.500, 0.000)

Computed properties:
Space-group type: P4/mmm (123)
Spin magnetization, μB/atom: 0.584
Volume, Å³ per cell: 130.98


Of them, the most stable is #x and the least stable is #w.


#w
The following is a DFT calculation (GGA-PBEsol) of crystalline LaZr2Fe at its relaxed geometry.

Cell lengths 5.376, 5.376, 5.376 Å; angles 131.82, 131.82, 70.51 degrees
Sites, in units of the cell vectors:
La (0.000, 0.000, 0.000)
Zr (0.500, 0.500, 0.000)
Zr (0.750, 0.250, 0.500)
Fe (0.250, 0.750, 0.500)

Computed properties:
Space-group type: I-4m2 (119)
Spin magnetization, μB/atom: 0.726
Volume, Å³ per cell: 84.54


#x
The following is a DFT calculation (GGA-PBEsol) of crystalline LaZr2Fe at its relaxed geometry.

Cell lengths 4.157, 4.157, 4.855 Å; angles 90.00, 90.00, 90.00 degrees
Sites, in units of the cell vectors:
La (0.000, 0.000, 0.000)
Zr (0.000, 0.500, 0.500)
Zr (0.500, 0.000, 0.500)
Fe (0.500, 0.500, 0.000)

Computed properties:
Space-group type: P4/mmm (123)
Spin magnetization, μB/atom: 0.465
Volume, Å³ per cell: 83.91


#y
The following is a DFT calculation (GGA-PBEsol) of crystalline LaZr2Fe at its relaxed geometry.

Cell lengths 5.789, 5.789, 5.789 Å; angles 146.16, 128.06, 63.45 degrees
Sites, in units of the cell vectors:
La (0.000, 0.000, 0.000)
Zr (0.398, 0.398, 0.000)
Zr (0.705, 0.205, 0.500)
Fe (0.218, 0.718, 0.500)

Computed properties:
Space-group type: Imm2 (44)
Spin magnetization, μB/atom: 0.000
Volume, Å³ per cell: 84.15


Of them, the most stable is #y and the least stable is #x.